Entry 1:
# Nd2Ho6ErTm

A relaxed structure of Nd2Ho6ErTm (GGA-PBE, the Alexandria database).

Computed properties:
Total moment: 0.00 μB per formula unit
Calculated formation energy: 1.2 eV per formula unit
Calculated total energy: -89.74 eV for the cell shown

The structure in POSCAR format:
```
Nd2Ho6ErTm
1.0
4.489 -7.488 0.000
4.489 7.488 0.000
-1.512 0.000 9.526
Nd Ho Er Tm
4 12 2 2
Cartesian
2.142 0.776 0.407 Nd
1.386 -0.776 5.170 Nd
6.081 0.776 4.356 Nd
5.326 -0.776 9.119 Nd
2.396 4.157 1.789 Ho
3.069 4.639 5.309 Ho
3.643 4.639 8.979 Ho
2.990 1.576 3.628 Ho
5.827 4.157 2.974 Ho
5.233 1.576 1.135 Ho
2.234 -1.576 8.391 Ho
1.640 -4.157 6.551 Ho
4.477 -1.576 5.897 Ho
3.825 -4.639 0.546 Ho
4.399 -4.639 4.217 Ho
5.072 -4.157 7.737 Ho
4.112 7.218 2.381 Er
3.356 -7.218 7.144 Er
3.356 1.396 7.144 Tm
4.112 -1.396 2.381 Tm
```

Entry 2:
# NdHo2ErTm6

A relaxed structure of NdHo2ErTm6 (GGA-PBE, the Alexandria database).

Computed properties:
Total moment: 0.00 μB per formula unit
Calculated formation energy: 1.2 eV per formula unit
Calculated total energy: -88.17 eV for the cell shown

The structure in POSCAR format:
```
NdHo2ErTm6
1.0
4.495 -7.449 0.000
4.495 7.449 0.000
-1.094 0.000 9.340
Nd Ho Er Tm
2 4 2 12
Cartesian
3.675 7.064 7.005 Nd
4.222 -7.064 2.335 Nd
1.667 0.800 5.109 Ho
2.214 -0.800 0.439 Ho
5.683 0.800 8.901 Ho
6.229 -0.800 4.231 Ho
4.222 1.341 2.335 Er
3.675 -1.341 7.005 Er
1.884 4.081 6.379 Tm
3.874 4.650 0.542 Tm
4.569 4.650 4.128 Tm
2.628 1.627 8.246 Tm
5.466 4.081 7.631 Tm
4.722 1.627 5.764 Tm
3.175 -1.627 3.576 Tm
2.431 -4.081 1.709 Tm
5.269 -1.627 1.094 Tm
3.327 -4.650 5.212 Tm
4.022 -4.650 8.798 Tm
6.013 -4.081 2.961 Tm
```

Entry 3:
# NdHo2Er6Tm

A relaxed structure of NdHo2Er6Tm (GGA-PBE, the Alexandria database).

Computed properties:
Total moment: 0.00 μB per formula unit
Calculated formation energy: 1.2 eV per formula unit
Calculated total energy: -89.11 eV for the cell shown

The structure in POSCAR format:
```
NdHo2Er6Tm
1.0
4.510 -7.461 0.000
4.510 7.461 0.000
-1.093 0.000 9.361
Nd Ho Er Tm
2 4 12 2
Cartesian
3.690 7.075 7.021 Nd
4.236 -7.075 2.340 Nd
1.682 0.794 5.122 Ho
2.228 -0.794 0.441 Ho
5.698 0.794 8.920 Ho
6.245 -0.794 4.239 Ho
1.880 4.093 6.397 Er
3.889 4.668 0.539 Er
4.584 4.668 4.141 Er
2.644 1.630 8.264 Er
5.500 4.093 7.644 Er
4.736 1.630 5.778 Er
3.190 -1.630 3.584 Er
2.426 -4.093 1.717 Er
5.282 -1.630 1.097 Er
3.343 -4.668 5.220 Er
4.037 -4.668 8.822 Er
6.047 -4.093 2.964 Er
4.236 1.341 2.340 Tm
3.690 -1.341 7.021 Tm
```

Entry 4:
# NdHo5Er2Tm

A relaxed structure of NdHo5Er2Tm (GGA-PBE, the Alexandria database).

Computed properties:
Total moment: 0.00 μB per formula unit
Calculated formation energy: 1.5 eV per formula unit
Calculated total energy: -79.56 eV for the cell shown

The structure in POSCAR format:
```
NdHo5Er2Tm
1.0
2.786 -9.845 0.000
2.786 9.845 0.000
0.000 0.000 10.495
Nd Ho Er Tm
2 10 4 2
Cartesian
2.786 8.182 5.247 Nd
2.786 -8.182 0.000 Nd
2.786 9.429 8.238 Ho
2.786 7.602 0.731 Ho
2.786 5.876 7.944 Ho
2.786 5.532 3.785 Ho
2.786 0.355 0.745 Ho
2.786 -0.355 5.993 Ho
2.786 -5.532 9.033 Ho
2.786 -5.876 2.697 Ho
2.786 -7.602 5.978 Ho
2.786 -9.429 2.990 Ho
2.786 2.230 3.832 Er
2.786 2.190 8.214 Er
2.786 -2.190 2.966 Er
2.786 -2.230 9.080 Er
2.786 3.926 0.627 Tm
2.786 -3.926 5.874 Tm
```

Entry 5:
# Nd3Ho2ErTm6

A relaxed structure of Nd3Ho2ErTm6 (GGA-PBE, the Alexandria database).

Computed properties:
Total moment: 0.00 μB per formula unit
Calculated formation energy: 0.3 eV per formula unit
Calculated total energy: -54.56 eV for the cell shown

The structure in POSCAR format:
```
Nd3Ho2ErTm6
1.0
3.075 -5.322 0.000
3.075 5.322 0.000
-2.045 0.000 11.502
Nd Ho Er Tm
3 2 1 6
Cartesian
0.000 0.000 0.000 Nd
3.075 1.774 0.000 Nd
3.075 -1.774 0.000 Nd
2.052 3.548 5.751 Ho
2.052 -3.548 5.751 Ho
2.052 0.000 5.751 Er
1.026 1.774 2.922 Tm
0.004 0.000 8.579 Tm
1.026 -1.774 2.922 Tm
3.078 1.774 8.579 Tm
4.100 0.000 2.922 Tm
3.078 -1.774 8.579 Tm
```

Entry 6:
# Nd6HoErTm2

A relaxed structure of Nd6HoErTm2 (GGA-PBE, the Alexandria database).

Computed properties:
Total moment: 0.00 μB per formula unit
Calculated formation energy: 1.2 eV per formula unit
Calculated total energy: -91.04 eV for the cell shown

The structure in POSCAR format:
```
Nd6HoErTm2
1.0
4.626 -7.633 0.000
4.626 7.633 0.000
-1.237 0.000 9.523
Nd Ho Er Tm
12 2 2 4
Cartesian
2.412 4.230 1.783 Nd
3.380 4.953 5.277 Nd
4.016 4.953 9.007 Nd
3.249 1.665 3.640 Nd
6.221 4.230 2.979 Nd
5.384 1.665 1.121 Nd
2.630 -1.665 8.401 Nd
1.793 -4.230 6.544 Nd
4.766 -1.665 5.883 Nd
3.999 -4.953 0.516 Nd
4.634 -4.953 4.246 Nd
5.603 -4.230 7.740 Nd
3.698 1.359 7.142 Ho
4.316 -1.359 2.381 Ho
4.316 7.191 2.381 Er
3.698 -7.191 7.142 Er
2.241 0.735 0.446 Tm
1.622 -0.735 5.207 Tm
6.392 0.735 4.315 Tm
5.774 -0.735 9.077 Tm
```

Entry 7:
# Nd5Ho2ErTm

A relaxed structure of Nd5Ho2ErTm (GGA-PBE, the Alexandria database).

Computed properties:
Total moment: 0.00 μB per formula unit
Calculated formation energy: 1.3 eV per formula unit
Calculated total energy: -81.50 eV for the cell shown

The structure in POSCAR format:
```
Nd5Ho2ErTm
1.0
2.813 -10.198 0.000
2.813 10.198 0.000
0.000 0.000 10.681
Nd Ho Er Tm
10 4 2 2
Cartesian
2.813 9.883 5.341 Nd
2.813 7.798 8.280 Nd
2.813 6.066 4.946 Nd
2.813 5.694 0.736 Nd
2.813 0.321 8.232 Nd
2.813 -0.321 2.891 Nd
2.813 -5.694 6.077 Nd
2.813 -6.066 10.286 Nd
2.813 -7.798 2.940 Nd
2.813 -9.883 0.000 Nd
2.813 2.324 0.660 Ho
2.813 2.301 5.285 Ho
2.813 -2.301 10.626 Ho
2.813 -2.324 6.001 Ho
2.813 8.297 2.356 Er
2.813 -8.297 7.697 Er
2.813 4.040 8.187 Tm
2.813 -4.040 2.846 Tm
```

Entry 8:
# NdHoErTm

A relaxed structure of NdHoErTm (GGA-PBE, the Alexandria database).

Computed properties:
Total moment: 0.00 μB per formula unit
Energy above the most stable polymorph in this dataset: 0.0 meV per atom
Calculated formation energy: 0.1 eV per formula unit
Calculated total energy: -18.29 eV for the cell shown

The structure in POSCAR format:
```
NdHoErTm
1.0
1.784 1.030 11.490
-1.784 1.030 11.490
0.000 -2.060 11.490
Nd Ho Er Tm
1 1 1 1
Cartesian
0.000 0.000 0.000 Nd
0.000 0.000 5.729 Ho
0.000 0.000 25.896 Er
0.000 0.000 20.033 Tm
```

Entry 9:
# Nd5Y2HoEr

A relaxed structure of Nd5Y2HoEr (GGA-PBE, the Alexandria database).

Computed properties:
Total moment: 0.00 μB per formula unit
Calculated formation energy: 1.3 eV per formula unit
Calculated total energy: -89.32 eV for the cell shown

The structure in POSCAR format:
```
Nd5Y2HoEr
1.0
2.835 -10.225 0.000
2.835 10.225 0.000
0.000 0.000 10.701
Nd Y Ho Er
10 4 2 2
Cartesian
2.835 9.885 5.351 Nd
2.835 7.899 8.308 Nd
2.835 6.070 4.934 Nd
2.835 5.736 0.720 Nd
2.835 0.347 8.266 Nd
2.835 -0.347 2.916 Nd
2.835 -5.736 6.071 Nd
2.835 -6.070 10.285 Nd
2.835 -7.899 2.957 Nd
2.835 -9.885 0.000 Nd
2.835 2.349 0.703 Y
2.835 2.295 5.273 Y
2.835 -2.295 10.624 Y
2.835 -2.349 6.054 Y
2.835 4.082 8.192 Ho
2.835 -4.082 2.841 Ho
2.835 8.336 2.354 Er
2.835 -8.336 7.705 Er
```

Entry 10:
# NdY2HoEr

A relaxed structure of NdY2HoEr (GGA-PBE, the Alexandria database).

Computed properties:
Total moment: 0.00 μB per formula unit
Calculated formation energy: 1.9 eV per formula unit
Calculated total energy: -49.80 eV for the cell shown

The structure in POSCAR format:
```
NdY2HoEr
1.0
4.207 -5.731 0.000
4.207 5.731 0.000
0.000 0.000 7.232
Nd Y Ho Er
2 4 2 2
Cartesian
4.207 3.104 5.424 Nd
4.207 -3.104 1.808 Nd
1.608 0.000 0.000 Y
1.608 0.000 3.616 Y
6.807 0.000 0.000 Y
6.807 0.000 3.616 Y
4.207 0.021 5.424 Ho
4.207 -0.021 1.808 Ho
4.207 3.161 1.808 Er
4.207 -3.161 5.424 Er
```

Entry 11:
# Nd2Y3HoEr6

A relaxed structure of Nd2Y3HoEr6 (GGA-PBE, the Alexandria database).

Computed properties:
Total moment: 0.00 μB per formula unit
Calculated formation energy: 0.3 eV per formula unit
Calculated total energy: -60.62 eV for the cell shown

The structure in POSCAR format:
```
Nd2Y3HoEr6
1.0
3.080 -5.330 0.000
3.080 5.330 0.000
-2.046 0.000 11.583
Nd Y Ho Er
2 3 1 6
Cartesian
3.080 3.553 0.000 Nd
3.080 -3.553 0.000 Nd
-1.023 0.000 5.792 Y
2.057 1.774 5.792 Y
2.057 -1.774 5.792 Y
3.080 0.000 0.000 Ho
0.003 1.773 8.673 Er
1.038 0.000 2.912 Er
0.003 -1.773 8.673 Er
4.111 1.773 2.910 Er
3.076 0.000 8.671 Er
4.111 -1.773 2.910 Er
```

Entry 12:
# Nd2Y6Ho2Er

A relaxed structure of Nd2Y6Ho2Er (GGA-PBE, the Alexandria database).

Computed properties:
Total moment: 0.00 μB per formula unit
Calculated formation energy: 1.6 eV per formula unit
Calculated total energy: -60.45 eV for the cell shown

The structure in POSCAR format:
```
Nd2Y6Ho2Er
1.0
2.832 -6.029 0.000
2.832 6.029 0.000
0.000 0.000 10.660
Nd Y Ho Er
2 6 2 1
Cartesian
2.832 4.405 0.000 Nd
2.832 -4.405 0.000 Nd
0.000 0.000 3.163 Y
0.000 0.000 7.498 Y
2.832 1.849 2.261 Y
2.832 1.849 8.399 Y
2.832 -1.849 2.261 Y
2.832 -1.849 8.399 Y
2.832 3.558 5.330 Ho
2.832 -3.558 5.330 Ho
2.832 0.000 5.330 Er
```